Below is a geometry-optimized KErCoTe3 structure, with properties calculated at the PBE level.

Results
Offset from the most stable computed form ... 23 meV per atom
Space-group type ... Pnma, No. 62

Lattice parameters (Å, degrees): 11.371 4.230 15.952 90.00 90.00 90.00
Positions (direct):
K 0.230 0.250 0.003
K 0.270 0.750 0.503
K 0.730 0.250 0.497
K 0.770 0.750 0.997
Er 0.018 0.750 0.254
Er 0.482 0.250 0.754
Er 0.518 0.750 0.246
Er 0.982 0.250 0.746
Co 0.237 0.750 0.782
Co 0.263 0.250 0.282
Co 0.737 0.750 0.718
Co 0.763 0.250 0.218
Te 0.052 0.750 0.875
Te 0.083 0.250 0.382
Te 0.235 0.250 0.684
Te 0.265 0.750 0.184
Te 0.417 0.750 0.882
Te 0.448 0.250 0.375
Te 0.552 0.750 0.625
Te 0.583 0.250 0.118
Te 0.735 0.250 0.816
Te 0.765 0.750 0.316
Te 0.917 0.750 0.618
Te 0.948 0.250 0.125


Below is a geometry-optimized NaHfAg3S4 structure, with properties calculated at the PBE level.

Results
Offset from the most stable computed form ... 78 meV per atom
Space-group type ... P2_1/m, No. 11

Lattice parameters (Å, degrees): 6.323 7.843 9.803 90.00 102.30 90.00
Positions (direct):
Na 0.045 0.250 0.175
Na 0.955 0.750 0.825
Hf 0.151 0.750 0.301
Hf 0.849 0.250 0.699
Ag 0.284 0.046 0.534
Ag 0.284 0.454 0.534
Ag 0.413 0.250 0.790
Ag 0.587 0.750 0.210
Ag 0.716 0.546 0.466
Ag 0.716 0.954 0.466
S 0.051 0.750 0.532
S 0.116 0.250 0.908
S 0.366 0.000 0.277
S 0.366 0.500 0.277
S 0.634 0.000 0.723
S 0.634 0.500 0.723
S 0.884 0.750 0.092
S 0.949 0.250 0.468


- The lowest offset from the most stable computed form belongs to which entry?
  KErCoTe3


- offset from the most stable computed form of number 1 (KErCoTe3)?
  23 meV per atom